Record 1
A geometry-optimized SrHgSe structure, computed with PBE.

Values from the calculation:
Relative energy among the computed polymorphs   301 meV per atom

Cell lengths 7.469, 7.469, 7.469 Å; angles 90.00, 90.00, 90.00 degrees
Fractional positions:
1 Sr 0.000 0.000 0.000
2 Sr 0.000 0.500 0.500
3 Sr 0.500 0.000 0.500
4 Sr 0.500 0.500 0.000
5 Hg 0.000 0.000 0.500
6 Hg 0.000 0.500 0.000
7 Hg 0.500 0.000 0.000
8 Hg 0.500 0.500 0.500
9 Se 0.250 0.250 0.750
10 Se 0.250 0.750 0.250
11 Se 0.750 0.250 0.250
12 Se 0.750 0.750 0.750


Record 2
A geometry-optimized SrHg4Se structure, computed with PBE.

Values from the calculation:
Density of states at the Fermi level   0.233 states/eV/atom

Cell lengths 6.216, 6.216, 6.216 Å; angles 60.00, 60.00, 60.00 degrees
Fractional positions:
1 Sr 0.000 0.000 0.000
2 Hg 0.128 0.624 0.624
3 Hg 0.624 0.128 0.624
4 Hg 0.624 0.624 0.128
5 Hg 0.624 0.624 0.624
6 Se 0.250 0.250 0.250


Record 3
A geometry-optimized SrHgSe2 structure, computed with PBE.

Values from the calculation:
Density of states at the Fermi level   0.995 states/eV/atom

Cell lengths 7.515, 7.515, 7.515 Å; angles 90.00, 90.00, 90.00 degrees
Fractional positions:
1 Sr 0.000 0.000 0.000
2 Sr 0.000 0.500 0.500
3 Sr 0.500 0.000 0.500
4 Sr 0.500 0.500 0.000
5 Hg 0.250 0.250 0.750
6 Hg 0.250 0.750 0.250
7 Hg 0.750 0.250 0.250
8 Hg 0.750 0.750 0.750
9 Se 0.000 0.000 0.500
10 Se 0.000 0.500 0.000
11 Se 0.250 0.250 0.250
12 Se 0.250 0.750 0.750
13 Se 0.500 0.000 0.000
14 Se 0.500 0.500 0.500
15 Se 0.750 0.250 0.750
16 Se 0.750 0.750 0.250


Record 4
A geometry-optimized SrHgSe2 structure, computed with PBE.

Values from the calculation:
Density of states at the Fermi level   0.000 states/eV/atom

Cell lengths 15.783, 4.582, 8.586 Å; angles 90.00, 110.72, 90.00 degrees
Fractional positions:
1 Sr 0.250 0.250 0.000
2 Sr 0.250 0.750 0.500
3 Sr 0.750 0.250 0.500
4 Sr 0.750 0.750 0.000
5 Hg 0.000 0.000 0.000
6 Hg 0.000 0.000 0.500
7 Hg 0.500 0.500 0.000
8 Hg 0.500 0.500 0.500
9 Se 0.148 0.249 0.614
10 Se 0.148 0.751 0.114
11 Se 0.352 0.251 0.386
12 Se 0.352 0.749 0.886
13 Se 0.648 0.251 0.114
14 Se 0.648 0.749 0.614
15 Se 0.852 0.249 0.886
16 Se 0.852 0.751 0.386


Number 1: formation energy (no corrections) -0.98 eV/atom, M_tot 0.00 μB/atom. Number 2: formation energy (no corrections) -0.32 eV/atom, M_tot 0.00 μB/atom. Number 3: formation energy (no corrections) -0.54 eV/atom, M_tot 0.00 μB/atom. Number 4: formation energy (no corrections) -1.07 eV/atom, M_tot 0.00 μB/atom.